4
Lattice="0.0000 3.1589 3.1589 3.1589 0.0000 3.1589 3.1589 3.1589 0.0000" Properties=species:S:1:pos:R:3 comment="MoPd2F (GGA+U, relaxed)" polymorph_energy_mev_per_atom=82 spacegroup="Fm-3m (225)" volume_a3_per_atom=15.8 total_magnetization_mub_per_cell=3.25 pbc="T T T"
Mo 0.0000 0.0000 0.0000
Pd 1.5795 1.5795 1.5795
Pd 4.7384 4.7384 4.7384
F 3.1589 3.1589 3.1589